# 1
Cs2SrAg2I6 PBE-GGA relaxed; SG = C2/m (12); formation energy from raw total energies = -1.096 eV per atom; crystal system = monoclinic; volume = 549.0 Å³/cell; total magnetic moment = 0.0 μB/f.u.
1.0
8.8786 0.0000 0.0000
-4.4393 7.6994 -0.0900
0.0000 -4.5091 8.0840
Cs Sr Ag I
2 1 2 6
Cartesian
4.4393 2.6139 1.6033
0.0000 0.5764 6.3907
4.4393 -2.2545 4.0420
4.4393 3.4210 6.1071
0.0000 -0.2307 1.8869
4.4393 0.8665 5.0677
-2.1459 5.9465 1.4956
2.2934 -2.7562 6.4985
6.5852 -2.7562 6.4985
2.1459 5.9465 1.4956
0.0000 2.3238 2.9264

***

# 2
CsSrAgI4 PBE-GGA relaxed; SG = P2_1/m (11); formation energy from raw total energies = -1.237 eV per atom; crystal system = monoclinic; volume = 638.2 Å³/cell; total magnetic moment = 0.0 μB/f.u.
1.0
-4.9749 2.4733 -5.3326
5.5325 -1.7924 -5.9926
-1.4351 -10.3108 1.7590
Cs Sr Ag I
2 2 2 8
Cartesian
-1.0882 -9.2396 -6.9684
0.2107 -0.3903 -2.5979
-0.3401 -4.0026 -7.8442
-0.5374 -5.6273 -1.7221
2.5745 -4.1566 -5.1073
-3.4520 -5.4733 -4.4590
1.6579 -8.1600 -1.9888
-5.1668 -0.6173 -4.7272
-2.5353 -1.4699 -7.5775
4.2893 -9.0125 -4.8391
1.8442 -1.8039 -6.4852
-2.7216 -7.8260 -3.0810
0.9568 -6.3069 -5.9576
-1.8342 -3.3229 -3.6086

***

# 3
Cs3SrAg2I6 PBE-GGA relaxed; SG = P-3m1 (164); formation energy from raw total energies = -1.005 eV per atom; crystal system = trigonal; volume = 691.5 Å³/cell; total magnetic moment = 0.5 μB/f.u.
1.0
-4.9834 -7.3043 -2.2093
4.4493 4.6112 -6.4814
7.6871 -5.6293 1.2720
Cs Sr Ag I
3 1 2 6
Cartesian
6.1066 -2.8768 -4.2629
1.0465 -5.4456 -3.1559
0.0000 0.0000 0.0000
3.8436 -2.8147 0.6360
4.5174 -7.9874 -2.5815
2.6356 -0.3350 -4.8372
2.6681 -2.6975 -6.4956
2.9351 -1.3515 -2.1521
5.1587 0.9531 -5.3914
4.2180 -6.9709 -5.2666
4.4849 -5.6250 -0.9231
1.9943 -9.2755 -2.0273

***

# 4
CsSr3Ag4I12 PBE-GGA relaxed; SG = R32 (155); formation energy from raw total energies = -0.948 eV per atom; crystal system = trigonal; volume = 1038.7 Å³/cell; total magnetic moment = 0.0 μB/f.u.
1.0
10.5863 -0.0940 -0.1307
-2.6420 10.2518 -0.1307
-2.6420 -3.3781 9.6801
Cs Sr Ag I
1 3 4 12
Cartesian
0.0000 0.0000 0.0000
4.7769 4.4495 -0.1307
3.1674 -1.9358 5.3716
-2.6420 4.2660 4.1779
8.2556 -0.9934 4.7094
-2.9532 1.9985 8.8659
2.6512 9.1643 0.5529
2.6512 3.3898 4.7094
2.6512 1.1628 6.3124
8.0214 4.7230 0.7266
-2.7190 7.5898 4.7094
2.6512 -2.1434 8.6922
0.4264 9.2402 2.1012
-1.0155 0.1873 9.4293
8.8652 1.1545 3.1707
4.8759 7.7201 -0.0105
-3.5628 4.1394 7.3175
6.3179 -2.1025 6.2481
4.8126 3.9264 3.1064
0.4897 5.0803 4.7094

***

# 5
Cs2SrAgI5 PBE-GGA relaxed; SG = Cmc2_1 (36); formation energy from raw total energies = -1.332 eV per atom; crystal system = orthorhombic; volume = 880.7 Å³/cell; total magnetic moment = 0.0 μB/f.u.
1.0
-2.6086 4.1964 -0.1673
-4.9071 -5.6106 8.8299
10.2127 6.7457 9.9618
Cs Sr Ag I
4 2 2 10
Cartesian
2.4224 5.0052 14.7199
5.6119 3.8423 8.8708
1.7803 1.3209 5.3732
-4.1599 0.6669 8.5392
0.2908 3.5049 10.3267
-2.2930 -1.2773 3.7140
7.4605 7.9625 10.3461
-0.9752 -0.1287 11.9735
-4.2013 -2.3679 6.1104
5.2529 6.6567 12.0129
6.6374 7.3466 7.7309
3.1082 2.3994 11.7186
-1.4233 2.5454 12.9842
1.9552 4.4345 7.6924
0.0226 0.3780 9.1267
-3.3190 -1.6046 11.4996
-2.2249 1.7341 5.1367
-0.3743 -0.1826 1.2561

***

# 6
Cs2TbAg2I6 PBE-GGA relaxed; SG = C2/m (12); formation energy from raw total energies = -0.988 eV per atom; crystal system = monoclinic; volume = 520.6 Å³/cell; total magnetic moment = 0.0 μB/f.u.
1.0
9.4812 0.0000 0.0000
-4.7406 6.8897 0.1157
0.0000 -3.8211 7.9054
Cs Tb Ag I
2 1 2 6
Cartesian
4.7406 2.3603 1.3779
0.0000 0.7083 6.6431
4.7406 -1.9106 3.9527
4.7406 3.9436 4.9952
0.0000 -0.8751 3.0258
4.7406 0.9476 5.0226
-2.1133 5.6367 1.9550
2.6273 -2.5682 6.0661
6.8539 -2.5682 6.0661
2.1133 5.6367 1.9550
0.0000 2.1209 2.9984